[1]
# SCAN Er4B6O15, single point on PBEsol structure
data_Er4B6O15
_symmetry_space_group_name_H-M 'C 1 2/c 1'
_symmetry_Int_Tables_number 15
_symmetry_space_group_name_Hall '-C 2yc'
_cell_length_a 11.564
_cell_length_b 4.338
_cell_length_c 18.532
_cell_angle_alpha 90.00
_cell_angle_beta 96.44
_cell_angle_gamma 90.00
loop_
_atom_site_label
_atom_site_fract_x
_atom_site_fract_y
_atom_site_fract_z
Er1 0.136 0.203 0.100
Er2 0.137 0.214 0.304
B1 0.069 0.267 0.695
B2 0.095 0.296 0.913
B3 0.168 0.189 0.475
O1 0.000 0.126 0.750
O2 0.017 0.173 0.620
O3 0.066 0.403 0.197
O4 0.082 0.369 0.430
O5 0.127 0.125 0.981
O6 0.178 0.260 0.860
O7 0.184 0.126 0.704
O8 0.210 0.298 0.551
# ΔE_f (raw) = -3250 meV per atom
# DOS(E_F) = 0.000 states/eV per atom
# Total moment = 0.00 Bohr magnetons per cell
# Total energy = -1.2367 Ry per atom

---

[2]
# SCAN Er2B4O9, single point on PBEsol structure
data_Er2B4O9
_symmetry_space_group_name_H-M 'P -1'
_symmetry_Int_Tables_number 2
_symmetry_space_group_name_Hall '-P 1'
_cell_length_a 6.082
_cell_length_b 6.328
_cell_length_c 7.420
_cell_angle_alpha 102.82
_cell_angle_beta 97.43
_cell_angle_gamma 102.44
loop_
_atom_site_label
_atom_site_fract_x
_atom_site_fract_y
_atom_site_fract_z
Er1 0.051 0.091 0.289
Er2 0.387 0.675 0.359
B1 0.125 0.357 0.650
B2 0.160 0.686 0.928
B3 0.235 0.334 0.981
B4 0.496 0.143 0.192
O1 0.004 0.794 0.024
O2 0.034 0.538 0.748
O3 0.084 0.820 0.449
O4 0.266 0.263 0.786
O5 0.277 0.575 0.042
O6 0.281 0.407 0.521
O7 0.309 0.875 0.878
O8 0.364 0.285 0.146
O9 0.429 0.041 0.327
# ΔE_f (raw) = -3152 meV per atom
# DOS(E_F) = 0.000 states/eV per atom
# Total moment = 0.00 Bohr magnetons per cell
# Total energy = -1.1454 Ry per atom

---

[3]
# SCAN ErScB2O6, single point on PBEsol structure
data_ErScB2O6
_symmetry_space_group_name_H-M 'R -3'
_symmetry_Int_Tables_number 148
_symmetry_space_group_name_Hall '-R 3'
_cell_length_a 4.8475
_cell_length_b 4.8475
_cell_length_c 15.7221
_cell_angle_alpha 90.00
_cell_angle_beta 90.00
_cell_angle_gamma 120.00
loop_
_atom_site_label
_atom_site_fract_x
_atom_site_fract_y
_atom_site_fract_z
Er1 0.0000 0.0000 0.0000
Sc1 0.0000 0.0000 0.5000
B1 0.0000 0.0000 0.2459
O1 0.0152 0.7225 0.2471
# ΔE_f (raw) = -3363 meV per atom
# DOS(E_F) = 0.000 states/eV per atom
# Total moment = 0.00 Bohr magnetons per cell
# Total energy = -1.1058 Ry per atom

---

[4]
# SCAN ErBPtRh2, single point on PBEsol structure
data_ErBPtRh2
_symmetry_space_group_name_H-M 'P 4/m m m'
_symmetry_Int_Tables_number 123
_symmetry_space_group_name_Hall '-P 4 2'
_cell_length_a 4.165
_cell_length_b 4.165
_cell_length_c 4.156
_cell_angle_alpha 90.00
_cell_angle_beta 90.00
_cell_angle_gamma 90.00
loop_
_atom_site_label
_atom_site_fract_x
_atom_site_fract_y
_atom_site_fract_z
Er1 0.000 0.000 0.000
B1 0.500 0.500 0.500
Pt1 0.500 0.500 0.000
Rh1 0.000 0.500 0.500
# DOS(E_F) = 0.022 states/eV per atom
# Energy of formation = -997 meV per atom
# Total moment = 0.00 Bohr magnetons per cell
# Total energy = -2.9472 Ry per atom

---

[5]
# SCAN Er3ReB7, single point on PBEsol structure
data_Er3ReB7
_symmetry_space_group_name_H-M 'C m c m'
_symmetry_Int_Tables_number 63
_symmetry_space_group_name_Hall '-C 2c 2'
_cell_length_a 3.472
_cell_length_b 15.528
_cell_length_c 9.240
_cell_angle_alpha 90.00
_cell_angle_beta 90.00
_cell_angle_gamma 90.00
loop_
_atom_site_label
_atom_site_fract_x
_atom_site_fract_y
_atom_site_fract_z
Er1 0.000 0.106 0.059
Er2 0.000 0.243 0.750
Re1 0.000 0.053 0.750
B1 0.000 0.273 0.033
B2 0.000 0.367 0.150
B3 0.000 0.454 0.750
B4 0.000 0.480 0.094
# DOS(E_F) = 0.352 states/eV per atom
# Energy of formation = -719 meV per atom
# Total moment = 0.04 Bohr magnetons per cell
# Total energy = -1.8844 Ry per atom

---

[6]
# SCAN ErReB4, single point on PBEsol structure
data_ErReB4
_symmetry_space_group_name_H-M 'P b a m'
_symmetry_Int_Tables_number 55
_symmetry_space_group_name_Hall '-P 2 2ab'
_cell_length_a 5.917
_cell_length_b 11.444
_cell_length_c 3.560
_cell_angle_alpha 90.00
_cell_angle_beta 90.00
_cell_angle_gamma 90.00
loop_
_atom_site_label
_atom_site_fract_x
_atom_site_fract_y
_atom_site_fract_z
Er1 0.127 0.150 0.000
Re1 0.134 0.412 0.000
B1 0.022 0.693 0.500
B2 0.114 0.548 0.500
B3 0.135 0.969 0.500
B4 0.211 0.815 0.500
# DOS(E_F) = 0.215 states/eV per atom
# Energy of formation = -662 meV per atom
# Total moment = 0.00 Bohr magnetons per cell
# Total energy = -1.9002 Ry per atom

---

[7]
# SCAN ErB4Rh, single point on PBEsol structure
data_ErB4Rh
_symmetry_space_group_name_H-M 'P b a m'
_symmetry_Int_Tables_number 55
_symmetry_space_group_name_Hall '-P 2 2ab'
_cell_length_a 5.902
_cell_length_b 11.440
_cell_length_c 3.489
_cell_angle_alpha 90.00
_cell_angle_beta 90.00
_cell_angle_gamma 90.00
loop_
_atom_site_label
_atom_site_fract_x
_atom_site_fract_y
_atom_site_fract_z
Er1 0.131 0.149 0.000
B1 0.022 0.693 0.500
B2 0.113 0.547 0.500
B3 0.135 0.969 0.500
B4 0.209 0.813 0.500
Rh1 0.141 0.406 0.000
# DOS(E_F) = 0.228 states/eV per atom
# Energy of formation = -720 meV per atom
# Total moment = 0.00 Bohr magnetons per cell
# Total energy = -1.4473 Ry per atom

---

[8]
# SCAN ErBRh3, single point on PBEsol structure
data_ErBRh3
_symmetry_space_group_name_H-M 'P m -3 m'
_symmetry_Int_Tables_number 221
_symmetry_space_group_name_Hall '-P 4 2 3'
_cell_length_a 4.126
_cell_length_b 4.126
_cell_length_c 4.126
_cell_angle_alpha 90.00
_cell_angle_beta 90.00
_cell_angle_gamma 90.00
loop_
_atom_site_label
_atom_site_fract_x
_atom_site_fract_y
_atom_site_fract_z
Er1 0.000 0.000 0.000
B1 0.500 0.500 0.500
Rh1 0.000 0.500 0.500
# DOS(E_F) = 0.657 states/eV per atom
# Energy of formation = -924 meV per atom
# Total moment = 0.04 Bohr magnetons per cell
# Total energy = -2.4064 Ry per atom

---

Number 5 is which compound?
Er3ReB7

---

Which of these has the highest total energy?
ErScB2O6

---

Which value of DOS(E_F) does entry 5 give?
0.352 states/eV per atom

---

What did the second record say?
# SCAN Er2B4O9, single point on PBEsol structure
data_Er2B4O9
_symmetry_space_group_name_H-M 'P -1'
_symmetry_Int_Tables_number 2
_symmetry_space_group_name_Hall '-P 1'
_cell_length_a 6.082
_cell_length_b 6.328
_cell_length_c 7.420
_cell_angle_alpha 102.82
_cell_angle_beta 97.43
_cell_angle_gamma 102.44
loop_
_atom_site_label
_atom_site_fract_x
_atom_site_fract_y
_atom_site_fract_z
Er1 0.051 0.091 0.289
Er2 0.387 0.675 0.359
B1 0.125 0.357 0.650
B2 0.160 0.686 0.928
B3 0.235 0.334 0.981
B4 0.496 0.143 0.192
O1 0.004 0.794 0.024
O2 0.034 0.538 0.748
O3 0.084 0.820 0.449
O4 0.266 0.263 0.786
O5 0.277 0.575 0.042
O6 0.281 0.407 0.521
O7 0.309 0.875 0.878
O8 0.364 0.285 0.146
O9 0.429 0.041 0.327
# ΔE_f (raw) = -3152 meV per atom
# DOS(E_F) = 0.000 states/eV per atom
# Total moment = 0.00 Bohr magnetons per cell
# Total energy = -1.1454 Ry per atom